Record 1
# BaSrSbI2

A relaxed BaSrSbI2 crystal (PBE-GGA, the Alexandria database).

Cell: 6.1534 6.1534 6.4389 Å, 90.00 90.00 90.00°
Closest atoms and distances in Å follow each position.
Sites, in units of the cell vectors:
Ba 0.0000 0.0000 0.0000  4 Sb 4.35, 8 I 4.45
Sr 0.5000 0.5000 0.5000  4 I 3.08, 2 Sb 3.22
Sb 0.5000 0.5000 0.0000  2 Sr 3.22
I 0.0000 0.5000 0.5000  2 Sr 3.08
I 0.5000 0.0000 0.5000  2 Sr 3.08

uncorrected formation energy = -4.69 eV/f.u.
ΔE to the lowest computed polymorph = 0.0 meV per atom
V = 48.76 Å³/atom

=====

Record 2
# Pm12Nd2Tl

A relaxed Pm12Nd2Tl crystal (PBE-GGA, the Alexandria database).

Cell: 6.7376 6.7376 23.7718 Å, 90.00 90.00 90.00°
Closest atoms and distances in Å follow each position.
Sites, in units of the cell vectors:
Pm 0.0046 0.5046 0.0926  2 Tl 3.21-3.28, 6 Pm 3.37-3.48
Pm 0.0046 0.9954 0.9074  2 Tl 3.21-3.28, 6 Pm 3.37-3.48
Pm 0.0840 0.5840 0.5652  2 Pm 3.16-3.49
Pm 0.0840 0.9160 0.4348  2 Pm 3.16-3.49
Pm 0.2500 0.2500 0.1995  1 Pm 3.08
Pm 0.2500 0.2500 0.3289  1 Pm 3.08
Pm 0.2500 0.2500 0.6711  1 Pm 3.08
Pm 0.2500 0.2500 0.8005  1 Pm 3.08
Pm 0.4160 0.5840 0.4348  2 Pm 3.16-3.49
Pm 0.4160 0.9160 0.5652  2 Pm 3.16-3.49
Pm 0.4954 0.5046 0.9074  2 Tl 3.21-3.28, 6 Pm 3.37-3.48
Pm 0.4954 0.9954 0.0926  2 Tl 3.21-3.28, 6 Pm 3.37-3.48
Pm 0.5046 0.0046 0.9074  2 Tl 3.21-3.28, 6 Pm 3.37-3.48
Pm 0.5046 0.4954 0.0926  2 Tl 3.21-3.28, 6 Pm 3.37-3.48
Pm 0.5840 0.0840 0.4348  2 Pm 3.16-3.49
Pm 0.5840 0.4160 0.5652  2 Pm 3.16-3.49
Pm 0.7500 0.7500 0.1995  1 Pm 3.08
Pm 0.7500 0.7500 0.3289  1 Pm 3.08
Pm 0.7500 0.7500 0.6711  1 Pm 3.08
Pm 0.7500 0.7500 0.8005  1 Pm 3.08
Pm 0.9160 0.0840 0.5652  2 Pm 3.16-3.49
Pm 0.9160 0.4160 0.4348  2 Pm 3.16-3.49
Pm 0.9954 0.0046 0.0926  2 Tl 3.21-3.28, 6 Pm 3.37-3.48
Pm 0.9954 0.4954 0.9074  2 Tl 3.21-3.28, 6 Pm 3.37-3.48
Nd 0.2500 0.7500 0.2473  8 Pm 3.56-3.89
Nd 0.2500 0.7500 0.7527  8 Pm 3.56-3.89
Nd 0.7500 0.2500 0.2473  8 Pm 3.56-3.89
Nd 0.7500 0.2500 0.7527  8 Pm 3.56-3.89
Tl 0.2500 0.7500 0.0000  8 Pm 3.21-3.28
Tl 0.7500 0.2500 0.0000  8 Pm 3.21-3.28

ΔH_f (0 K) = 3.32 eV per formula unit
V = 35.97 Å³/atom

=====

Record 3
# Sc3Tl3SnTe8

A relaxed Sc3Tl3SnTe8 crystal (PBE-GGA, the Alexandria database).

Cell: 9.4279 9.4279 9.4279 Å, 53.77 53.77 53.77°
Closest atoms and distances in Å follow each position.
Sites, in units of the cell vectors:
Sc 0.0000 0.5000 0.5000  6 Te 2.94-2.96
Sc 0.5000 0.0000 0.5000  6 Te 2.94-2.96
Sc 0.5000 0.5000 0.0000  6 Te 2.94-2.96
Tl 0.0000 0.0000 0.5000  6 Te 3.42-3.44
Tl 0.0000 0.5000 0.0000  6 Te 3.42-3.44
Tl 0.5000 0.0000 0.0000  6 Te 3.42-3.44
Sn 0.0000 0.0000 0.0000  6 Te 3.03
Te 0.2408 0.2408 0.7247  2 Sc 2.94, 1 Sn 3.03
Te 0.2408 0.7247 0.2408  2 Sc 2.94, 1 Sn 3.03
Te 0.2648 0.2648 0.2648  3 Sc 2.96
Te 0.2753 0.7592 0.7592  2 Sc 2.94, 1 Sn 3.03
Te 0.7247 0.2408 0.2408  2 Sc 2.94, 1 Sn 3.03
Te 0.7352 0.7352 0.7352  3 Sc 2.96
Te 0.7592 0.2753 0.7592  2 Sc 2.94, 1 Sn 3.03
Te 0.7592 0.7592 0.2753  2 Sc 2.94, 1 Sn 3.03

uncorrected formation energy = -11.35 eV/f.u.
V = 33.75 Å³/atom

=====

Record 4
# Y2Te2F

A relaxed Y2Te2F crystal (PBE-GGA, the Alexandria database).

Cell: 6.9046 6.9046 6.9046 Å, 132.86 132.86 68.87°
Closest atoms and distances in Å follow each position.
Sites, in units of the cell vectors:
Y 0.2500 0.7500 0.5000  4 Te 2.97
Y 0.7500 0.2500 0.5000  4 Te 2.97
Te 0.1551 0.1551 0.0000  4 Y 2.97
Te 0.8449 0.8449 0.0000  4 Y 2.97
F 0.5000 0.5000 0.0000  10 Te 3.93-4.29, 8 Y 3.97

uncorrected formation energy = -6.36 eV/f.u.
ΔE to the lowest computed polymorph = 626.8 meV per atom
V = 34.73 Å³/atom

=====

Record 5
# K2NpSeO6

A relaxed K2NpSeO6 crystal (PBE-GGA, the Alexandria database).

Cell: 6.3717 6.3717 6.3717 Å, 126.07 126.07 79.78°
Closest atoms and distances in Å follow each position.
Sites, in units of the cell vectors:
K 0.2500 0.7500 0.5000  12 O 2.94-3.19
K 0.7500 0.2500 0.5000  12 O 2.94-3.19
Np 0.0000 0.0000 0.0000  2 O 1.89
Se 0.5000 0.5000 0.0000  4 O 1.95
O 0.1935 0.1935 0.0000  1 Np 1.89
O 0.2609 0.2609 0.5218  1 Se 1.95, 1 Np 2.13
O 0.2609 0.7391 0.0000  1 Se 1.95, 1 Np 2.13
O 0.7391 0.2609 0.0000  1 Se 1.95, 1 Np 2.13
O 0.7391 0.7391 0.4782  1 Se 1.95, 1 Np 2.13
O 0.8065 0.8065 0.0000  1 Np 1.89

uncorrected formation energy = -18.39 eV/f.u.
V = 16.33 Å³/atom

=====

Record 6
# LiBeSi

A relaxed LiBeSi crystal (PBE-GGA, the Alexandria database).

Cell: 3.8130 3.8130 3.8130 Å, 60.00 60.00 60.00°
Closest atoms and distances in Å follow each position.
Sites, in units of the cell vectors:
Li 0.0000 0.0000 0.0000  4 Si 2.33, 4 Be 2.33
Be 0.2500 0.2500 0.2500  4 Li 2.33
Si 0.7500 0.7500 0.7500  4 Li 2.33

uncorrected formation energy = 1.51 eV/f.u.
ΔE to the lowest computed polymorph = 544.3 meV per atom
V = 13.07 Å³/atom